(1)
The following is a DFT calculation (GGA-PBE) of a relaxed Mg2FeRe crystal.

Results
final energy	-5.621	eV/atom
ΔE_f	0.404	eV per atom

a = 2.9330 Å, b = 4.5541 Å, c = 4.6222 Å
α = 90.00°, β = 90.00°, γ = 90.00°
Atoms (fractional coordinates):
1 Re 0.5000 0.0000 0.5000
2 Mg 0.0000 0.0000 0.0000
3 Mg 0.5000 0.5000 0.0000
4 Fe 0.0000 0.5000 0.5000

(2)
The following is a DFT calculation (GGA-PBE) of a relaxed Mg2TeP crystal.

Results
formation energy from raw total energies	-0.120	eV per atom
final energy	-3.055	eV/atom

a = 4.7997 Å, b = 4.7997 Å, c = 3.7303 Å
α = 90.00°, β = 90.00°, γ = 90.00°
Atoms (fractional coordinates):
1 Mg 0.5000 0.5000 0.0000
2 Mg 0.0000 0.0000 0.0000
3 Te 0.0000 0.5000 0.5000
4 P 0.5000 0.0000 0.5000

(3)
The following is a DFT calculation (GGA-PBE) of a relaxed KIn3F crystal.

Results
formation energy from raw total energies	0.468	eV per atom
final energy	-1.769	eV/atom

a = 6.4555 Å, b = 6.4555 Å, c = 6.4555 Å
α = 90.00°, β = 90.00°, γ = 90.00°
Atoms (fractional coordinates):
1 In 0.0000 0.0000 0.5000
2 In 0.5000 0.0000 0.0000
3 In 0.0000 0.5000 0.0000
4 F 0.5000 0.5000 0.5000
5 K 0.0000 0.0000 0.0000

(4)
The following is a DFT calculation (GGA-PBE) of a relaxed Tb3Dy4Y4 crystal.

Results
final energy	-5.101	eV/atom
ΔE_f	0.186	eV per atom

a = 3.5279 Å, b = 11.2633 Å, c = 10.8836 Å
α = 121.16°, β = 99.33°, γ = 90.00°
Atoms (fractional coordinates):
1 Tb 0.1080 0.1080 0.2159
2 Tb 0.0000 0.5000 0.0000
3 Tb 0.8920 0.8920 0.7841
4 Y 0.5000 0.2094 0.0000
5 Y 0.7809 0.2809 0.5618
6 Y 0.2191 0.7191 0.4382
7 Y 0.5000 0.7906 0.0000
8 Dy 0.3291 0.0847 0.6582
9 Dy 0.3291 0.5735 0.6582
10 Dy 0.6709 0.9153 0.3418
11 Dy 0.6709 0.4265 0.3418

(5)
The following is a DFT calculation (GGA-PBE) of a relaxed Sb2TeICl crystal.

Results
formation energy from raw total energies	0.745	eV per atom
final energy	-2.212	eV/atom

a = 5.5425 Å, b = 5.5425 Å, c = 5.3716 Å
α = 90.00°, β = 90.00°, γ = 90.00°
Atoms (fractional coordinates):
1 Te 0.5000 0.5000 0.5000
2 Sb 0.0000 0.5000 0.0000
3 Sb 0.5000 0.0000 0.0000
4 Cl 0.0000 0.0000 0.0000
5 I 0.0000 0.0000 0.5000

(6)
The following is a DFT calculation (GGA-PBE) of a relaxed Rb2Pu3ScO12 crystal.

Results
formation energy from raw total energies	-2.538	eV per atom
final energy	-8.692	eV/atom

a = 7.5631 Å, b = 7.5631 Å, c = 7.5631 Å
α = 62.88°, β = 62.88°, γ = 62.88°
Atoms (fractional coordinates):
1 O 0.6818 0.0625 0.6818
2 O 0.6818 0.6818 0.0625
3 O 0.3182 0.3182 0.9375
4 O 0.0625 0.6818 0.6818
5 O 0.9350 0.9350 0.3215
6 O 0.6785 0.0650 0.0650
7 O 0.9375 0.3182 0.3182
8 O 0.0650 0.6785 0.0650
9 O 0.0650 0.0650 0.6785
10 O 0.9350 0.3215 0.9350
11 O 0.3182 0.9375 0.3182
12 O 0.3215 0.9350 0.9350
13 Rb 0.3697 0.3697 0.3697
14 Rb 0.6303 0.6303 0.6303
15 Pu 0.5000 0.0000 0.0000
16 Pu 0.0000 0.5000 0.0000
17 Pu 0.0000 0.0000 0.5000
18 Sc 0.0000 0.0000 0.0000

(7)
The following is a DFT calculation (GGA-PBE) of a relaxed Pr3Cu7Si4 crystal.

Results
formation energy from raw total energies	-0.399	eV per atom
final energy	-5.021	eV/atom

a = 4.1877 Å, b = 8.0642 Å, c = 7.9658 Å
α = 69.58°, β = 74.76°, γ = 74.95°
Atoms (fractional coordinates):
1 Cu 0.1465 0.6171 0.0899
2 Cu 0.0000 0.0000 0.0000
3 Cu 0.4972 0.2155 0.7902
4 Cu 0.6708 0.1801 0.4783
5 Cu 0.3292 0.8199 0.5217
6 Cu 0.5028 0.7845 0.2098
7 Cu 0.8535 0.3829 0.9101
8 Si 0.8805 0.9040 0.3349
9 Si 0.3405 0.5297 0.7894
10 Si 0.6595 0.4703 0.2106
11 Si 0.1195 0.0960 0.6651
12 Pr 0.6936 0.8056 0.8071
13 Pr 0.3063 0.1944 0.1929
14 Pr 0.0000 0.5000 0.5000

(8)
The following is a DFT calculation (GGA-PBE) of a relaxed VAs crystal.

Results
final energy	-7.216	eV/atom
ΔE_f	-0.332	eV per atom

a = 3.1968 Å, b = 3.1885 Å, c = 7.2561 Å
α = 90.00°, β = 102.73°, γ = 90.00°
Atoms (fractional coordinates):
1 As 0.3848 0.7500 0.7696
2 As 0.6152 0.2500 0.2304
3 V 0.8017 0.2500 0.6034
4 V 0.1983 0.7500 0.3966

(9)
The following is a DFT calculation (GGA-PBE) of a relaxed LiCd2Si crystal.

Results
formation energy from raw total energies	0.128	eV per atom
final energy	-2.164	eV/atom

a = 10.3294 Å, b = 10.3294 Å, c = 10.3294 Å
α = 16.38°, β = 16.38°, γ = 16.38°
Atoms (fractional coordinates):
1 Si 0.7500 0.7500 0.7500
2 Cd 0.9955 0.9955 0.9955
3 Cd 0.5045 0.5045 0.5045
4 Li 0.2500 0.2500 0.2500

(10)
The following is a DFT calculation (GGA-PBE) of a relaxed BaMnHg2 crystal.

Results
final energy	-2.787	eV/atom
ΔE_f	0.137	eV per atom

a = 5.5277 Å, b = 5.5277 Å, c = 9.9562 Å
α = 73.88°, β = 73.88°, γ = 90.00°
Atoms (fractional coordinates):
1 Ba 0.0000 0.0000 0.0000
2 Ba 0.7500 0.2500 0.5000
3 Mn 0.5000 0.5000 0.0000
4 Mn 0.2500 0.7500 0.5000
5 Hg 0.4743 0.1250 0.2500
6 Hg 0.2757 0.6250 0.2500
7 Hg 0.8750 0.7243 0.7500
8 Hg 0.3750 0.5257 0.7500

(11)
The following is a DFT calculation (GGA-PBE) of a relaxed Ac4Nd3Er crystal.

Results
final energy	-4.370	eV/atom
ΔE_f	0.043	eV per atom

a = 7.5780 Å, b = 7.5780 Å, c = 10.9099 Å
α = 90.00°, β = 90.00°, γ = 90.00°
Atoms (fractional coordinates):
1 Ac 0.7492 0.0605 0.2510
2 Ac 0.4994 0.8100 0.5000
3 Ac 0.0006 0.3113 0.5000
4 Ac 0.2508 0.5605 0.7510
5 Ac 0.9994 0.8113 0.0000
6 Ac 0.2508 0.5605 0.2490
7 Ac 0.7492 0.0605 0.7490
8 Ac 0.5006 0.3100 0.0000
9 Nd 0.7467 0.5606 0.2500
10 Nd 0.7467 0.5606 0.7500
11 Nd 0.9997 0.3104 0.0000
12 Nd 0.2533 0.0606 0.7500
13 Nd 0.0003 0.8104 0.5000
14 Nd 0.2533 0.0606 0.2500
15 Er 0.5001 0.8107 0.0000
16 Er 0.4999 0.3107 0.5000

(12)
The following is a DFT calculation (GGA-PBE) of a relaxed CdCo crystal.

Results
final energy	-3.725	eV/atom
ΔE_f	0.286	eV per atom

a = 4.4685 Å, b = 10.3275 Å, c = 11.4183 Å
α = 90.00°, β = 90.00°, γ = 90.00°
Atoms (fractional coordinates):
1 Co 0.0000 0.8773 0.0000
2 Co 0.0000 0.0000 0.8275
3 Co 0.0000 0.5000 0.3275
4 Co 0.0000 0.1227 0.0000
5 Co 0.0000 0.5000 0.6725
6 Co 0.0000 0.6227 0.5000
7 Co 0.5000 0.1227 0.5000
8 Co 0.5000 0.5000 0.1725
9 Co 0.0000 0.0000 0.1725
10 Co 0.5000 0.3773 0.0000
11 Co 0.5000 0.6227 0.0000
12 Co 0.5000 0.5000 0.8275
13 Co 0.0000 0.3773 0.5000
14 Co 0.5000 0.0000 0.6725
15 Co 0.5000 0.8773 0.5000
16 Co 0.5000 0.0000 0.3275
17 Cd 0.5000 0.1519 0.1352
18 Cd 0.5000 0.3481 0.6352
19 Cd 0.5000 0.8481 0.8648
20 Cd 0.0000 0.1519 0.6352
21 Cd 0.5000 0.6519 0.3648
22 Cd 0.0000 0.3481 0.8648
23 Cd 0.0000 0.6519 0.1352
24 Cd 0.0000 0.3481 0.1352
25 Cd 0.5000 0.6519 0.6352
26 Cd 0.5000 0.8481 0.1352
27 Cd 0.5000 0.3481 0.3648
28 Cd 0.5000 0.1519 0.8648
29 Cd 0.0000 0.1519 0.3648
30 Cd 0.0000 0.8481 0.6352
31 Cd 0.0000 0.8481 0.3648
32 Cd 0.0000 0.6519 0.8648

(13)
The following is a DFT calculation (GGA-PBE) of a relaxed Pm2Sm15Dy2 crystal.

Results
final energy	-4.432	eV/atom
ΔE_f	0.278	eV per atom

a = 8.8640 Å, b = 8.8640 Å, c = 8.8640 Å
α = 78.26°, β = 78.26°, γ = 78.26°
Atoms (fractional coordinates):
1 Sm 0.5000 0.0000 0.0000
2 Sm 0.1552 0.6196 0.6196
3 Sm 0.8448 0.3804 0.3804
4 Sm 0.3804 0.8448 0.3804
5 Sm 0.6196 0.6196 0.1552
6 Sm 0.7010 0.2990 0.0000
7 Sm 0.3804 0.3804 0.8448
8 Sm 0.0000 0.5000 0.0000
9 Sm 0.2990 0.0000 0.7010
10 Sm 0.2990 0.7010 0.0000
11 Sm 0.7010 0.0000 0.2990
12 Sm 0.0000 0.0000 0.5000
13 Sm 0.6196 0.1552 0.6196
14 Sm 0.0000 0.2990 0.7010
15 Sm 0.0000 0.7010 0.2990
16 Dy 0.6836 0.6836 0.6836
17 Dy 0.3164 0.3164 0.3164
18 Pm 0.0912 0.0912 0.0912
19 Pm 0.9088 0.9088 0.9088

(14)
The following is a DFT calculation (GGA-PBE) of a relaxed RbSb2TeN crystal.

Results
formation energy from raw total energies	2.620	eV per atom
final energy	-1.516	eV/atom

a = 7.2509 Å, b = 7.2509 Å, c = 6.7025 Å
α = 90.00°, β = 90.00°, γ = 90.00°
Atoms (fractional coordinates):
1 Te 0.0000 0.0000 0.5000
2 Rb 0.0000 0.0000 0.0000
3 Sb 0.5000 0.0000 0.0000
4 Sb 0.0000 0.5000 0.0000
5 N 0.5000 0.5000 0.5000

(15)
The following is a DFT calculation (GGA-PBE) of a relaxed Na3UCl6 crystal.

Results
formation energy from raw total energies	-1.734	eV per atom
final energy	-4.366	eV/atom

a = 7.0830 Å, b = 7.3807 Å, c = 10.5287 Å
α = 90.00°, β = 88.61°, γ = 90.00°
Atoms (fractional coordinates):
1 Cl 0.8249 0.6928 0.9078
2 Cl 0.3249 0.8072 0.4078
3 Cl 0.6424 0.4161 0.2595
4 Cl 0.6751 0.1928 0.5922
5 Cl 0.3576 0.5839 0.7405
6 Cl 0.3266 0.8207 0.0560
7 Cl 0.8266 0.6793 0.5560
8 Cl 0.1424 0.0839 0.7595
9 Cl 0.1734 0.3207 0.4440
10 Cl 0.8576 0.9161 0.2405
11 Cl 0.1751 0.3072 0.0922
12 Cl 0.6734 0.1793 0.9440
13 U 0.5000 0.5000 0.5000
14 U 0.0000 0.0000 0.0000
15 Na 0.0000 0.0000 0.5000
16 Na 0.5151 0.9352 0.7746
17 Na 0.4849 0.0648 0.2254
18 Na 0.0151 0.5648 0.2746
19 Na 0.5000 0.5000 0.0000
20 Na 0.9849 0.4352 0.7254

(16)
The following is a DFT calculation (GGA-PBE) of a relaxed Lu2BeFe crystal.

Results
final energy	-5.258	eV/atom
ΔE_f	0.049	eV per atom

a = 4.6389 Å, b = 4.6389 Å, c = 4.6389 Å
α = 60.00°, β = 60.00°, γ = 60.00°
Atoms (fractional coordinates):
1 Lu 0.2500 0.2500 0.2500
2 Lu 0.7500 0.7500 0.7500
3 Fe 0.5000 0.5000 0.5000
4 Be 0.0000 0.0000 0.0000

(17)
The following is a DFT calculation (GGA-PBE) of a relaxed PIrAu crystal.

Results
final energy	-5.879	eV/atom
ΔE_f	-0.030	eV per atom

a = 4.8287 Å, b = 2.9385 Å, c = 8.0769 Å
α = 90.00°, β = 98.75°, γ = 90.00°
Atoms (fractional coordinates):
1 Au 0.7986 0.5000 0.9993
2 Au 0.7986 0.0000 0.4993
3 Ir 0.2980 0.5000 0.4589
4 Ir 0.2980 0.0000 0.9589
5 P 0.2746 0.0000 0.6725
6 P 0.2746 0.5000 0.1725

(18)
The following is a DFT calculation (GGA-PBE) of a relaxed Ba3Pm crystal.

Results
final energy	-2.439	eV/atom
ΔE_f	0.191	eV per atom

a = 6.6645 Å, b = 6.6645 Å, c = 6.6645 Å
α = 60.00°, β = 60.00°, γ = 60.00°
Atoms (fractional coordinates):
1 Ba 0.2500 0.2500 0.2500
2 Ba 0.0000 0.0000 0.0000
3 Ba 0.7500 0.7500 0.7500
4 Pm 0.5000 0.5000 0.5000

(19)
The following is a DFT calculation (GGA-PBE) of a relaxed CrIrOs crystal.

Results
final energy	-9.884	eV/atom
ΔE_f	0.021	eV per atom

a = 2.6935 Å, b = 2.6935 Å, c = 6.5360 Å
α = 90.00°, β = 90.00°, γ = 120.00°
Atoms (fractional coordinates):
1 Ir 0.6667 0.3333 0.3196
2 Os 0.3333 0.6667 0.6828
3 Cr 0.0000 0.0000 0.9976

(20)
The following is a DFT calculation (GGA-PBE) of a relaxed ScPbN3 crystal.

Results
formation energy from raw total energies	0.750	eV per atom
final energy	-6.253	eV/atom

a = 4.2245 Å, b = 4.2245 Å, c = 4.2245 Å
α = 90.00°, β = 90.00°, γ = 90.00°
Atoms (fractional coordinates):
1 N 0.0000 0.0000 0.5000
2 N 0.0000 0.5000 0.0000
3 N 0.5000 0.0000 0.0000
4 Pb 0.5000 0.5000 0.5000
5 Sc 0.0000 0.0000 0.0000

(21)
The following is a DFT calculation (GGA-PBE) of a relaxed Zr2TaHg crystal.

Results
final energy	-7.341	eV/atom
ΔE_f	-0.029	eV per atom

a = 3.0307 Å, b = 3.0307 Å, c = 9.4513 Å
α = 90.00°, β = 90.00°, γ = 102.84°
Atoms (fractional coordinates):
1 Ta 0.5000 0.5000 0.7500
2 Hg 0.5000 0.5000 0.2500
3 Zr 0.0000 0.0000 0.5132
4 Zr 0.0000 0.0000 0.9868

(22)
The following is a DFT calculation (GGA-PBE) of a relaxed PmPu2TcC4 crystal.

Results
final energy	-10.015	eV/atom
ΔE_f	0.069	eV per atom

a = 3.5274 Å, b = 6.1371 Å, c = 12.1910 Å
α = 90.00°, β = 90.00°, γ = 106.70°
Atoms (fractional coordinates):
1 C 0.2586 0.5171 0.1253
2 C 0.5716 0.1432 0.2500
3 C 0.2586 0.5171 0.3747
4 C 0.0000 0.0000 0.5000
5 C 0.4284 0.8568 0.7500
6 C 0.7414 0.4829 0.6253
7 C 0.0000 0.0000 0.0000
8 C 0.7414 0.4829 0.8747
9 Pm 0.8961 0.7923 0.2500
10 Pm 0.1039 0.2077 0.7500
11 Pu 0.6296 0.2592 0.4604
12 Pu 0.6296 0.2592 0.0396
13 Pu 0.3704 0.7408 0.9604
14 Pu 0.3704 0.7408 0.5396
15 Tc 0.8401 0.6802 0.7500
16 Tc 0.1599 0.3198 0.2500

(23)
The following is a DFT calculation (GGA-PBE) of a relaxed Sr4TlAg crystal.

Results
final energy	-2.225	eV/atom
ΔE_f	-0.234	eV per atom

a = 4.0933 Å, b = 4.0933 Å, c = 14.1447 Å
α = 90.00°, β = 90.00°, γ = 90.00°
Atoms (fractional coordinates):
1 Sr 0.5000 0.5000 0.1390
2 Sr 0.5000 0.5000 0.8610
3 Sr 0.0000 0.0000 0.3678
4 Sr 0.0000 0.0000 0.6322
5 Tl 0.0000 0.0000 0.0000
6 Ag 0.5000 0.5000 0.5000